(1)
# KAlCl2O

A relaxed structure of KAlCl2O (PBE, Alexandria via LeMat-Bulk).

```
data_KAlCl2O
_chemical_formula_sum 'K2 Al2 Cl4 O2'
_symmetry_space_group_name_H-M 'P 1 21 1'
_symmetry_Int_Tables_number 4
_symmetry_space_group_name_Hall 'P 2yb'
_cell_length_a 7.059
_cell_length_b 5.644
_cell_length_c 7.183
_cell_angle_alpha 90.00
_cell_angle_beta 100.61
_cell_angle_gamma 90.00
loop_
_atom_site_label
_atom_site_type_symbol
_atom_site_fract_x
_atom_site_fract_y
_atom_site_fract_z
_atom_site_occupancy
K1 K 0.211 0.000 0.309 1
Al1 Al 0.449 0.883 0.888 1
Cl1 Cl 0.139 0.873 0.749 1
Cl2 Cl 0.403 0.503 0.344 1
O1 O 0.466 0.100 0.059 1
```

DFT total energy in eV/atom: -4.8480

=====

(2)
# CaNdDy

A relaxed structure of CaNdDy (PBE, Alexandria via LeMat-Bulk).

```
data_CaNdDy
_chemical_formula_sum 'Ca2 Nd2 Dy2'
_symmetry_space_group_name_H-M 'P -3 m 1'
_symmetry_Int_Tables_number 164
_symmetry_space_group_name_Hall '-P 3 2"'
_cell_length_a 3.6683
_cell_length_b 3.6683
_cell_length_c 18.6139
_cell_angle_alpha 90.00
_cell_angle_beta 90.00
_cell_angle_gamma 120.00
loop_
_atom_site_label
_atom_site_type_symbol
_atom_site_fract_x
_atom_site_fract_y
_atom_site_fract_z
_atom_site_occupancy
Ca1 Ca 0.0000 0.0000 0.0974 1
Nd1 Nd 0.3333 0.6667 0.5831 1
Dy1 Dy 0.3333 0.6667 0.2640 1
```

Energy of formation from the pure elements in eV per atom: 0.079

=====

(3)
# MgAgPbCl5

A relaxed structure of MgAgPbCl5 (PBE, Alexandria via LeMat-Bulk).

```
data_MgAgPbCl5
_chemical_formula_sum 'Mg4 Ag4 Pb4 Cl20'
_symmetry_space_group_name_H-M 'C 1 2/c 1'
_symmetry_Int_Tables_number 15
_symmetry_space_group_name_Hall '-C 2yc'
_cell_length_a 9.900
_cell_length_b 10.975
_cell_length_c 10.165
_cell_angle_alpha 90.00
_cell_angle_beta 118.76
_cell_angle_gamma 90.00
loop_
_atom_site_label
_atom_site_type_symbol
_atom_site_fract_x
_atom_site_fract_y
_atom_site_fract_z
_atom_site_occupancy
Mg1 Mg 0.250 0.250 0.000 1
Ag1 Ag 0.000 0.063 0.250 1
Pb1 Pb 0.000 0.443 0.250 1
Cl1 Cl 0.000 0.283 0.750 1
Cl2 Cl 0.096 0.248 0.138 1
Cl3 Cl 0.235 0.022 0.974 1
```

DFT total energy in eV/atom: -3.3563

=====

(4)
# K3Pt

A relaxed structure of K3Pt (PBE, Alexandria via LeMat-Bulk).

```
data_K3Pt
_chemical_formula_sum 'K9 Pt3'
_symmetry_space_group_name_H-M 'R -3 m'
_symmetry_Int_Tables_number 166
_symmetry_space_group_name_Hall '-R 3 2"'
_cell_length_a 5.0377
_cell_length_b 5.0377
_cell_length_c 27.4363
_cell_angle_alpha 90.00
_cell_angle_beta 90.00
_cell_angle_gamma 120.00
loop_
_atom_site_label
_atom_site_type_symbol
_atom_site_fract_x
_atom_site_fract_y
_atom_site_fract_z
_atom_site_occupancy
K1 K 0.0000 0.0000 0.0000 1
K2 K 0.0000 0.0000 0.2123 1
Pt1 Pt 0.0000 0.0000 0.5000 1
```

Energy of formation from the pure elements in eV per atom: 0.122